[1]
Here is crystalline Mn3Cr3Co2O16 at its relaxed geometry from Alexandria via LeMat-Bulk. Energies are from PBE+U.

abc: 5.7931 5.7931 8.6411
angles: 90.29 90.29 60.32
Closest atoms and distances in Å follow each position.
Element x y z (fractional)
Mn  0.0000  0.0000  0.0000  6 O 1.88-1.98
Mn  0.1670  0.6609  0.5026  6 O 1.91-1.97
Mn  0.6609  0.1670  0.5026  6 O 1.91-1.97
Cr  0.4979  0.9967  0.0100  6 O 1.87-2.01
Cr  0.6653  0.6653  0.5130  6 O 1.86-2.00
Cr  0.9967  0.4979  0.0100  6 O 1.87-2.01
Co  0.1581  0.1581  0.7283  6 O 1.86-1.95
Co  0.4946  0.4946  0.2299  6 O 1.86-1.93
O  0.0016  0.0016  0.6100  1 Co 1.87, 2 Mn 1.95
O  0.1566  0.1566  0.1205  1 Mn 1.88, 2 Cr 1.97
O  0.1721  0.6545  0.1093  1 Cr 1.87, 1 Co 1.93, 1 Mn 1.98
O  0.2979  0.2979  0.8715  1 Co 1.86, 2 Cr 1.96
O  0.3008  0.8762  0.8684  1 Co 1.87, 1 Mn 1.90, 1 Cr 2.01
O  0.3513  0.3513  0.3684  1 Co 1.87, 2 Mn 1.95
O  0.3564  0.7773  0.3695  1 Co 1.86, 1 Mn 1.93, 1 Cr 2.00
O  0.4868  0.9961  0.6098  1 Cr 1.86, 1 Co 1.95, 1 Mn 1.97
O  0.4910  0.4910  0.6178  2 Mn 1.91, 1 Cr 1.97
O  0.6522  0.6522  0.1045  1 Co 1.92, 2 Cr 1.92
O  0.6545  0.1721  0.1093  1 Cr 1.87, 1 Co 1.93, 1 Mn 1.98
O  0.7773  0.3564  0.3695  1 Co 1.86, 1 Mn 1.93, 1 Cr 2.00
O  0.8326  0.8326  0.3960  2 Mn 1.92, 1 Cr 1.96
O  0.8333  0.8333  0.8977  1 Mn 1.89, 2 Cr 1.95
O  0.8762  0.3008  0.8684  1 Co 1.87, 1 Mn 1.90, 1 Cr 2.01
O  0.9961  0.4868  0.6098  1 Cr 1.86, 1 Co 1.95, 1 Mn 1.97

Properties
As for the total magnetization: 9.000 μB/f.u. As for the symmetry: Cm. For the total energy, the calculation gives -161.98 eV for the cell shown.

---

[2]
Here is crystalline Mn2Cr3CoO8 at its relaxed geometry from Alexandria via LeMat-Bulk. Energies are from PBE+U.

abc: 6.0074 6.0074 6.0074
angles: 60.34 60.34 60.34
Closest atoms and distances in Å follow each position.
Element x y z (fractional)
Mn  0.0000  0.0000  0.0000  4 O 2.04-2.05
Mn  0.3752  0.3752  0.3752  6 O 2.00-2.02
Cr  0.3749  0.3749  0.8755  6 O 2.02-2.05
Cr  0.3749  0.8755  0.3749  6 O 2.02-2.05
Cr  0.8755  0.3749  0.3749  6 O 2.02-2.05
Co  0.7498  0.7498  0.7498  4 O 2.00-2.02
O  0.1391  0.1391  0.1391  3 Cr 2.02, 1 Mn 2.04
O  0.1409  0.1409  0.5836  2 Mn 2.00-2.05, 2 Cr 2.03
O  0.1409  0.5836  0.1409  2 Mn 2.00-2.05, 2 Cr 2.03
O  0.1589  0.6120  0.6120  1 Co 2.02, 1 Mn 2.02, 2 Cr 2.05
O  0.5836  0.1409  0.1409  2 Mn 2.00-2.05, 2 Cr 2.03
O  0.6120  0.1589  0.6120  1 Co 2.02, 1 Mn 2.02, 2 Cr 2.05
O  0.6120  0.6120  0.1589  1 Co 2.02, 1 Mn 2.02, 2 Cr 2.05
O  0.6133  0.6133  0.6133  1 Co 2.00, 3 Cr 2.04

Properties
As for the total magnetization: 19.000 μB/f.u. As for the symmetry: R3m. For the total energy, the calculation gives -106.08 eV for the cell shown.